# 1
Below is a relaxed structure of Pa2CdPb, with properties calculated at the PBE level.

extended XYZ file:
```
4
Lattice="-1.1078 -3.5621 -1.8272 -0.7038 -1.6931 3.7273 -5.8348 1.9300 -0.2250" Properties=species:S:1:pos:R:3 pbc="T T T"
Pa -1.5308 0.5063 -0.0590
Pa -4.3040 1.4236 -0.1660
Pb -0.9058 -2.6276 0.9500
Cd -3.8232 -1.6626 0.8375
```

Output
**E_form**: 20 kJ/mol of atoms
**ΔE to the lowest computed polymorph**: 8.2 kJ per mole of atoms
**Space-group type**: P4/mmm, No. 123



# 2
Below is a relaxed structure of MnFeBr2, with properties calculated at the PBE level.

extended XYZ file:
```
4
Lattice="-1.9428 -0.0147 2.7780 2.7452 -0.5298 1.9170 0.9351 7.3513 0.6928" Properties=species:S:1:pos:R:3 pbc="T T T"
Fe 0.5037 3.9602 0.3732
Mn 1.0643 4.9410 2.8388
Br 0.7333 2.3383 2.5935
Br 0.8388 6.5943 0.6214
```

Output
**ΔE to the lowest computed polymorph**: 9.2 kJ per mole of atoms
**Space-group type**: P4mm, No. 99



# 3
Below is a relaxed structure of ScBr4Cl, with properties calculated at the PBE level.

extended XYZ file:
```
6
Lattice="0.0000 4.2847 4.2847 4.2847 0.0000 4.2847 4.2847 4.2847 0.0000" Properties=species:S:1:pos:R:3 pbc="T T T"
Br 5.3569 3.2124 5.3569
Br 5.3569 5.3569 3.2124
Br 3.2124 5.3569 5.3569
Br 3.2124 3.2124 3.2124
Cl 6.4270 6.4270 6.4270
Sc 0.0000 0.0000 0.0000
```

Output
**Space-group type**: F-43m, No. 216



# 4
Below is a relaxed structure of Pm2AlBi, with properties calculated at the PBE level.

extended XYZ file:
```
4
Lattice="-3.2958 0.6830 4.2963 -1.6682 -4.3287 2.8750 1.8972 -0.8165 5.0518" Properties=species:S:1:pos:R:3 pbc="T T T"
Pm -0.7667 -1.1155 3.0558
Pm -2.3001 -3.3466 9.1673
Al 0.0000 0.0000 0.0000
Bi -1.5334 -2.2311 6.1116
```

Output
**E_form**: -37 kJ/mol of atoms
**ΔE to the lowest computed polymorph**: 11.4 kJ per mole of atoms
**Space-group type**: Fm-3m, No. 225



# 5
Below is a relaxed structure of ZnNi6Ir3, with properties calculated at the PBE level.

extended XYZ file:
```
20
Lattice="5.2430 -0.0115 -0.0169 0.0157 7.6785 -0.3796 0.0172 -1.3224 6.1942" Properties=species:S:1:pos:R:3 pbc="T T T"
Ir 3.0370 6.0029 0.2884
Ir 0.4129 2.6688 1.7188
Ir 0.4158 6.0359 0.3984
Ir 0.4197 0.3457 5.5151
Ir 3.0408 0.3128 5.4051
Ir 3.0441 3.6799 4.0847
Ni 4.3390 4.8619 2.1936
Ni 1.7127 0.4867 1.2059
Ni 1.7368 2.5132 5.9988
Ni 1.7430 5.8618 4.5977
Ni 4.3598 1.4754 3.5928
Ni 4.3570 5.8561 4.5891
Ni 4.3411 3.8298 -0.2038
Ni 1.7145 1.4811 3.6016
Ni 1.7413 4.8674 2.2020
Ni 4.3416 0.4812 1.1974
Ni 0.4091 -0.6454 3.1267
Ni 3.0460 6.9940 2.6768
Zn 3.0343 2.6506 1.6779
Zn 0.4228 3.6980 4.1255
```

Output
**E_form**: 0 kJ/mol of atoms
**Space-group type**: P2_1/m, No. 11



# 6
Below is a relaxed structure of Ta2ReMo, with properties calculated at the PBE level.

extended XYZ file:
```
4
Lattice="2.8139 -0.0087 0.0000 -0.9879 2.6348 0.0000 0.0000 0.0000 9.0196" Properties=species:S:1:pos:R:3 pbc="T T T"
Re 0.9130 1.3131 6.7296
Mo 0.0000 0.0000 4.5753
Ta 0.9130 1.3131 2.3081
Ta 0.0000 0.0000 8.9360
```

Output
**E_form**: -10 kJ/mol of atoms
**ΔE to the lowest computed polymorph**: 23.7 kJ per mole of atoms
**Space-group type**: Cmm2, No. 35



# 7
Below is a relaxed structure of HoSi3Ir3, with properties calculated at the PBE level.

extended XYZ file:
```
14
Lattice="6.8409 0.0000 0.0000 3.4204 5.9244 0.0000 3.4204 1.9748 6.4407" Properties=species:S:1:pos:R:3 pbc="T T T"
Si 8.2787 5.9150 1.7819
Si 7.8241 1.7216 1.7819
Si 9.2619 3.6871 4.6587
Si 5.8577 6.1775 4.6587
Si 5.4030 1.9841 4.6587
Si 4.4198 4.2121 1.7819
Ir 7.7876 1.9621 4.2264
Ir 5.8941 5.9370 2.2142
Ir 9.0354 3.7758 2.2142
Ir 5.5931 2.1360 2.2142
Ir 8.0887 5.7632 4.2264
Ir 4.6463 4.1234 4.2264
Ho 6.8409 3.9496 0.0224
Ho 6.8409 3.9496 6.4183
```

Output
**ΔE to the lowest computed polymorph**: 0.0 kJ per mole of atoms
**Space-group type**: R-3, No. 148



# 8
Below is a relaxed structure of YSnSbH2, with properties calculated at the PBE level.

extended XYZ file:
```
5
Lattice="4.1632 0.0000 0.0000 0.0000 6.6411 0.0000 0.0000 0.0000 4.1632" Properties=species:S:1:pos:R:3 pbc="T T T"
Y 0.0000 3.3205 0.0000
Sn 0.0000 0.0000 0.0000
Sb 2.0816 3.3205 2.0816
H 0.0000 0.0000 2.0816
H 2.0816 0.0000 0.0000
```

Output
**Space-group type**: P4/mmm, No. 123



# 9
Below is a relaxed structure of Ac4BiSbTe2, with properties calculated at the PBE level.

extended XYZ file:
```
8
Lattice="-3.6487 3.1104 -4.7780 -4.8653 -4.6560 0.6843 1.2819 4.5797 6.7970" Properties=species:S:1:pos:R:3 pbc="T T T"
Ac -4.7715 5.3265 2.3166
Ac -1.8522 1.5909 -2.3445
Ac -1.4936 1.9112 2.3848
Ac -5.7385 1.1230 0.3186
Te -3.9202 -0.4245 2.7172
Te 0.0000 0.0000 0.0000
Sb -3.3119 3.4587 -0.0139
Bi -4.2570 -0.7728 -2.0469
```

Output
**Space-group type**: I-4m2, No. 119



# 10
Below is a relaxed structure of RbY, with properties calculated at the PBE level.

extended XYZ file:
```
16
Lattice="15.1125 0.0000 0.0000 0.0000 15.1125 0.0000 0.0000 0.0000 3.8493" Properties=species:S:1:pos:R:3 pbc="T T T"
Rb 1.8474 12.4357 1.9246
Rb 2.6768 1.8474 1.9246
Rb 5.7088 10.2330 0.0000
Rb 10.2330 9.4037 0.0000
Rb 4.8795 5.7088 0.0000
Rb 12.4357 13.2651 1.9246
Rb 9.4037 4.8795 0.0000
Rb 13.2651 2.6768 1.9246
Y 5.8311 14.2022 1.9246
Y 13.3874 6.6459 0.0000
Y 0.9103 5.8311 1.9246
Y 14.2022 9.2814 1.9246
Y 1.7251 8.4666 0.0000
Y 8.4666 13.3874 0.0000
Y 9.2814 0.9103 1.9246
Y 6.6459 1.7251 0.0000
```

Output
**E_form**: 40 kJ/mol of atoms
**Space-group type**: I4/m, No. 87



# 11
Below is a relaxed structure of Ba4Pr2Cu6O13, with properties calculated at the PBE level.

extended XYZ file:
```
25
Lattice="12.7201 0.0098 -0.0101 11.4714 5.4439 -0.0133 1.2486 0.1852 5.4310" Properties=species:S:1:pos:R:3 pbc="T T T"
Cu 9.2513 0.5589 5.0441
Cu 12.1239 4.0725 1.4065
Cu 13.3162 1.5664 4.0011
Cu 17.4446 2.4403 3.0963
Cu 7.9955 3.1986 2.3113
Cu 16.1888 5.0800 0.3634
Ba 10.5532 0.9573 1.9009
Ba 10.5532 3.6865 4.5370
Ba 14.8869 1.9524 0.8706
Ba 14.8869 4.6816 3.5067
O 10.3249 3.8566 1.6300
O 16.9419 3.7889 1.7001
O 4.8889 1.0719 1.7017
O 8.4982 1.8500 3.7075
O 19.9156 4.4718 0.9931
O 11.6864 0.9949 4.5927
O 7.8312 1.7476 1.0021
O 5.5245 1.1671 4.4145
O 17.6089 3.8913 4.4054
O 12.7201 2.8194 2.7038
O 20.5513 4.5670 3.7059
O 13.7537 4.6440 0.8149
O 15.1152 1.7823 3.7776
Pr 6.9843 0.0975 2.7104
Pr 5.7357 2.7220 -0.0067
```

Output
**Space-group type**: Fmmm, No. 69



# 12
Below is a relaxed structure of K2Rb4ZnBi2, with properties calculated at the PBE level.

extended XYZ file:
```
9
Lattice="-4.5285 -3.9368 0.1428 1.6202 -3.3324 8.2222 -5.4146 4.6610 5.5038" Properties=species:S:1:pos:R:3 pbc="T T T"
Bi -6.3499 -1.7276 11.3526
Bi -1.9730 -0.8807 2.5162
Rb -7.9473 -0.0269 7.9805
Rb -3.9866 -4.5273 9.5110
Rb -0.3756 -2.5814 5.8883
Rb -4.3363 1.9190 4.3578
Zn -2.2642 -1.9684 0.0714
K -4.6312 -2.3589 5.0485
K -3.6917 -0.2494 8.8203
```

Output
**E_form**: -21 kJ/mol of atoms
**Space-group type**: C2/m, No. 12



Number 1: energy -5.694 eV per atom, D(E_F) 8.1 states/eV/f.u.. Number 2: energy -5.199 eV per atom, D(E_F) 2.7 states/eV/f.u.. Number 3: energy -2.407 eV per atom, D(E_F) 6.3 states/eV/f.u.. Number 4: energy -4.670 eV per atom, D(E_F) 4.3 states/eV/f.u.. Number 5: energy -6.259 eV per atom, D(E_F) 16.5 states/eV/f.u.. Number 6: energy -11.848 eV per atom, D(E_F) 1.4 states/eV/f.u.. Number 7: energy -7.407 eV per atom, D(E_F) 2.1 states/eV/f.u.. Number 8: energy -4.173 eV per atom, D(E_F) 2.4 states/eV/f.u.. Number 9: energy -5.179 eV per atom, D(E_F) 2.9 states/eV/f.u.. Number 10: energy -3.305 eV per atom, D(E_F) 3.1 states/eV/f.u.. Number 11: energy -6.058 eV per atom, D(E_F) 8.1 states/eV/f.u.. Number 12: energy -1.892 eV per atom, D(E_F) 2.2 states/eV/f.u..